Record 1
! Ba2TlCdRh (PBE-GGA, relaxed); values from VASP
&SYSTEM
  ibrav = 0, nat = 5, ntyp = 4
/
ATOMIC_SPECIES
Tl 204.38 Tl.upf
Rh 102.91 Rh.upf
Ba 137.33 Ba.upf
Cd 112.41 Cd.upf
ATOMIC_POSITIONS crystal
Tl 0.500 0.500 0.500
Rh 0.000 0.000 0.000
Ba 0.000 0.500 0.000
Ba 0.500 0.000 0.000
Cd 0.000 0.000 0.500
CELL_PARAMETERS angstrom
5.939 0.000 0.000
0.000 5.939 0.000
0.000 0.000 5.313
! ΔH_f (0 K) (eV/atom): -0.1726
! Space-group type: P4/mmm
! Density of states at the Fermi level (states/eV/cell): 5.1
! ΔE to the lowest computed polymorph (meV per atom): 58.3



Record 2
! BaTiMo3 (PBE-GGA, relaxed); values from VASP
&SYSTEM
  ibrav = 0, nat = 5, ntyp = 3
/
ATOMIC_SPECIES
Mo 95.94 Mo.upf
Ba 137.33 Ba.upf
Ti 47.87 Ti.upf
ATOMIC_POSITIONS crystal
Mo 0.000 0.500 0.000
Mo 0.000 0.000 0.500
Mo 0.500 0.000 0.000
Ba 0.500 0.500 0.500
Ti 0.000 0.000 0.000
CELL_PARAMETERS angstrom
-4.685 0.761 -1.006
-1.245 -3.405 3.224
-0.201 3.372 3.483
! ΔH_f (0 K) (eV/atom): 1.4855
! Space-group type: Pm-3m
! Density of states at the Fermi level (states/eV/cell): 9.6
! ΔE to the lowest computed polymorph (meV per atom): 0.0



Record 3
! Pr10S19 (PBE-GGA, relaxed); values from VASP
&SYSTEM
  ibrav = 0, nat = 58, ntyp = 2
/
ATOMIC_SPECIES
Pr 140.91 Pr.upf
S 32.06 S.upf
ATOMIC_POSITIONS crystal
Pr 0.500 0.000 0.636
Pr 0.104 0.194 0.647
Pr 0.604 0.694 0.853
Pr 0.098 0.209 0.128
Pr 0.598 0.709 0.372
Pr 0.194 0.896 0.353
Pr 0.500 0.000 0.136
Pr 0.000 0.500 0.864
Pr 0.806 0.104 0.353
Pr 0.291 0.598 0.628
Pr 0.396 0.306 0.853
Pr 0.402 0.291 0.372
Pr 0.902 0.791 0.128
Pr 0.896 0.806 0.647
Pr 0.694 0.396 0.147
Pr 0.209 0.902 0.872
Pr 0.709 0.402 0.628
Pr 0.000 0.500 0.364
Pr 0.306 0.604 0.147
Pr 0.791 0.098 0.872
S 0.000 0.500 0.684
S 0.720 0.947 0.501
S 0.640 0.172 0.500
S 0.598 0.701 0.676
S 0.553 0.220 0.001
S 0.701 0.402 0.324
S 0.053 0.720 0.499
S 0.902 0.799 0.824
S 0.672 0.860 0.000
S 0.780 0.553 0.999
S 0.140 0.672 0.000
S 0.000 0.000 0.000
S 0.898 0.803 0.312
S 0.201 0.902 0.176
S 0.303 0.602 0.812
S 0.220 0.447 0.999
S 0.102 0.197 0.312
S 0.299 0.598 0.324
S 0.280 0.053 0.501
S 0.860 0.328 0.000
S 0.947 0.280 0.499
S 0.098 0.201 0.824
S 0.328 0.140 0.000
S 0.500 0.000 0.316
S 0.172 0.360 0.500
S 0.000 0.500 0.184
S 0.828 0.640 0.500
S 0.398 0.303 0.188
S 0.360 0.828 0.500
S 0.602 0.697 0.188
S 0.447 0.780 0.001
S 0.799 0.098 0.176
S 0.197 0.898 0.688
S 0.697 0.398 0.812
S 0.402 0.299 0.676
S 0.500 0.000 0.816
S 0.500 0.500 0.500
S 0.803 0.102 0.688
CELL_PARAMETERS angstrom
-3.035 -4.080 -7.467
1.785 -8.057 3.676
-15.047 -0.435 6.352
! Space-group type: P4_2/n
! Formation energy from raw total energies (eV/atom): -1.801



Record 4
! K2LaZn (PBE-GGA, relaxed); values from VASP
&SYSTEM
  ibrav = 0, nat = 4, ntyp = 3
/
ATOMIC_SPECIES
K 39.10 K.upf
La 138.91 La.upf
Zn 65.41 Zn.upf
ATOMIC_POSITIONS crystal
K 0.000 0.000 0.000
K 0.500 0.500 0.000
La 0.250 0.750 0.500
Zn 0.750 0.250 0.500
CELL_PARAMETERS angstrom
-3.582 4.894 4.451
-5.530 -1.613 4.838
6.855 -2.183 -2.197
! ΔH_f (0 K) (eV/atom): 0.3704
! Space-group type: I4/mmm
! Density of states at the Fermi level (states/eV/cell): 4.9
! ΔE to the lowest computed polymorph (meV per atom): 304.1



Record 5
! CrTcIr2 (PBE-GGA, relaxed); values from VASP
&SYSTEM
  ibrav = 0, nat = 4, ntyp = 3
/
ATOMIC_SPECIES
Cr 52.00 Cr.upf
Ir 192.22 Ir.upf
Tc 98.00 Tc.upf
ATOMIC_POSITIONS crystal
Cr 0.500 0.625 0.788
Ir 0.000 0.125 0.949
Ir 0.500 0.125 0.298
Tc 0.000 0.625 0.465
CELL_PARAMETERS angstrom
-1.164 1.400 3.902
-2.604 -0.428 -0.623
0.324 -4.412 1.680
! ΔH_f (0 K) (eV/atom): -0.2584
! Space-group type: Pmm2
! Density of states at the Fermi level (states/eV/cell): 2.6
! ΔE to the lowest computed polymorph (meV per atom): 0.0



Record 6
! Na3Dy3YSe8 (PBE-GGA, relaxed); values from VASP
&SYSTEM
  ibrav = 0, nat = 15, ntyp = 4
/
ATOMIC_SPECIES
Na 22.99 Na.upf
Dy 162.50 Dy.upf
Y 88.91 Y.upf
Se 78.96 Se.upf
ATOMIC_POSITIONS crystal
Na 0.000 0.000 0.000
Na 0.000 0.500 0.000
Na 0.500 0.500 0.000
Dy 0.500 0.000 0.500
Dy 0.500 0.500 0.500
Dy 0.000 0.500 0.500
Y 0.000 0.000 0.500
Se 0.256 0.513 0.269
Se 0.744 0.487 0.731
Se 0.757 0.514 0.272
Se 0.243 0.486 0.728
Se 0.757 0.015 0.272
Se 0.243 0.985 0.728
Se 0.258 0.015 0.272
Se 0.742 0.985 0.728
CELL_PARAMETERS angstrom
8.240 0.000 0.000
-4.120 7.138 -0.028
0.000 -4.736 7.076
! Space-group type: R-3m
! Density of states at the Fermi level (states/eV/cell): 6.5
! Formation energy from raw total energies (eV/atom): -1.626



Record 7
! CsPOF2 (PBE-GGA, relaxed); values from VASP
&SYSTEM
  ibrav = 0, nat = 5, ntyp = 4
/
ATOMIC_SPECIES
Cs 132.91 Cs.upf
P 30.97 P.upf
O 16.00 O.upf
F 19.00 F.upf
ATOMIC_POSITIONS crystal
Cs 0.000 0.000 0.000
P 0.500 0.500 0.500
O 0.000 0.000 0.500
F 0.000 0.500 0.000
F 0.500 0.000 0.000
CELL_PARAMETERS angstrom
5.209 0.000 0.000
0.000 5.209 0.000
0.000 0.000 4.354
! Space-group type: P4/mmm
! Density of states at the Fermi level (states/eV/cell): 8.1
! Formation energy from raw total energies (eV/atom): 0.211
! ΔE to the lowest computed polymorph (meV per atom): 1877.2



Record 8
! LaThCdCu (PBE-GGA, relaxed); values from VASP
&SYSTEM
  ibrav = 0, nat = 4, ntyp = 4
/
ATOMIC_SPECIES
Cd 112.41 Cd.upf
Cu 63.55 Cu.upf
Th 232.04 Th.upf
La 138.91 La.upf
ATOMIC_POSITIONS crystal
Cd 0.750 0.750 0.750
Cu 0.250 0.250 0.250
Th 0.500 0.500 0.500
La 0.000 0.000 0.000
CELL_PARAMETERS angstrom
-2.003 -4.242 -2.513
2.896 -4.442 -0.445
-1.345 -4.342 2.767
! ΔH_f (0 K) (eV/atom): -0.0537
! Space-group type: F-43m
! Density of states at the Fermi level (states/eV/cell): 5.0



Record 9
! CsSb2Te3 (PBE-GGA, relaxed); values from VASP
&SYSTEM
  ibrav = 0, nat = 12, ntyp = 3
/
ATOMIC_SPECIES
Cs 132.91 Cs.upf
Sb 121.76 Sb.upf
Te 127.60 Te.upf
ATOMIC_POSITIONS crystal
Cs 0.365 0.207 0.870
Cs 0.563 0.596 0.202
Sb 0.882 0.983 0.698
Sb 0.946 0.245 0.301
Sb 0.891 0.714 0.446
Sb 0.486 0.927 0.503
Te 0.723 0.612 0.774
Te 0.343 0.263 0.212
Te 0.824 0.062 0.172
Te 0.297 0.715 0.459
Te 0.245 0.865 0.803
Te 0.941 0.326 0.548
CELL_PARAMETERS angstrom
6.831 -0.983 0.871
0.233 9.196 5.554
-0.156 2.008 9.784
! Space-group type: P1
! Formation energy from raw total energies (eV/atom): -0.327
! ΔE to the lowest computed polymorph (meV per atom): 0.0



Record 10
! RbIr (PBE-GGA, relaxed); values from VASP
&SYSTEM
  ibrav = 0, nat = 8, ntyp = 2
/
ATOMIC_SPECIES
Rb 85.47 Rb.upf
Ir 192.22 Ir.upf
ATOMIC_POSITIONS crystal
Rb 0.184 0.816 0.000
Rb 0.684 0.684 0.500
Rb 0.316 0.316 0.500
Rb 0.816 0.184 0.000
Ir 0.385 0.385 0.000
Ir 0.885 0.115 0.500
Ir 0.115 0.885 0.500
Ir 0.615 0.615 0.000
CELL_PARAMETERS angstrom
7.156 0.000 0.000
0.000 7.156 0.000
0.000 0.000 6.830
! ΔH_f (0 K) (eV/atom): 1.3894
! Space-group type: P4_2/mnm
! Density of states at the Fermi level (states/eV/cell): 15.9
! ΔE to the lowest computed polymorph (meV per atom): 1013.1



Record 11
! LaTlRe (PBE-GGA, relaxed); values from VASP
&SYSTEM
  ibrav = 0, nat = 12, ntyp = 3
/
ATOMIC_SPECIES
Re 186.21 Re.upf
Tl 204.38 Tl.upf
La 138.91 La.upf
ATOMIC_POSITIONS crystal
Re 0.000 0.963 0.250
Re 0.000 0.037 0.750
Re 0.500 0.463 0.250
Re 0.500 0.537 0.750
Tl 0.000 0.796 0.250
Tl 0.000 0.204 0.750
Tl 0.500 0.296 0.250
Tl 0.500 0.704 0.750
La 0.000 0.596 0.250
La 0.000 0.404 0.750
La 0.500 0.096 0.250
La 0.500 0.904 0.750
CELL_PARAMETERS angstrom
-1.337 3.472 2.592
-15.658 -7.351 1.774
1.318 -1.998 3.356
! ΔH_f (0 K) (eV/atom): -0.0103
! Space-group type: Cmcm
! Density of states at the Fermi level (states/eV/cell): 8.9
! ΔE to the lowest computed polymorph (meV per atom): 41.2



Record 12
! Li2HoCu9 (PBE-GGA, relaxed); values from VASP
&SYSTEM
  ibrav = 0, nat = 12, ntyp = 3
/
ATOMIC_SPECIES
Li 6.94 Li.upf
Ho 164.93 Ho.upf
Cu 63.55 Cu.upf
ATOMIC_POSITIONS crystal
Li 0.852 0.852 0.443
Li 0.148 0.148 0.557
Ho 0.000 0.000 0.000
Cu 0.667 0.667 0.998
Cu 0.333 0.333 0.002
Cu 0.500 0.500 0.500
Cu 0.415 0.415 0.254
Cu 0.917 0.415 0.254
Cu 0.415 0.917 0.254
Cu 0.585 0.585 0.746
Cu 0.585 0.083 0.746
Cu 0.083 0.585 0.746
CELL_PARAMETERS angstrom
4.951 0.000 0.000
2.476 4.288 0.000
2.476 1.429 8.128
! ΔH_f (0 K) (eV/atom): -0.1219
! Space-group type: R-3m
! Density of states at the Fermi level (states/eV/cell): 5.6
! ΔE to the lowest computed polymorph (meV per atom): 0.0



Record 13
! ScTaCoRe (PBE-GGA, relaxed); values from VASP
&SYSTEM
  ibrav = 0, nat = 4, ntyp = 4
/
ATOMIC_SPECIES
Sc 44.96 Sc.upf
Re 186.21 Re.upf
Co 58.93 Co.upf
Ta 180.95 Ta.upf
ATOMIC_POSITIONS crystal
Sc 0.500 0.500 0.500
Re 0.250 0.250 0.250
Co 0.750 0.750 0.750
Ta 0.000 0.000 0.000
CELL_PARAMETERS angstrom
-4.403 0.139 -0.729
-1.613 -0.806 -4.085
-2.249 -3.772 -0.807
! ΔH_f (0 K) (eV/atom): -0.2636
! Space-group type: F-43m
! Density of states at the Fermi level (states/eV/cell): 1.0



Record 14
! Pr8YTm2 (PBE-GGA, relaxed); values from VASP
&SYSTEM
  ibrav = 0, nat = 11, ntyp = 3
/
ATOMIC_SPECIES
Pr 140.91 Pr.upf
Y 88.91 Y.upf
Tm 168.93 Tm.upf
ATOMIC_POSITIONS crystal
Pr 0.234 0.348 0.826
Pr 0.766 0.174 0.652
Pr 0.167 0.755 0.755
Pr 0.833 0.245 0.245
Pr 0.234 0.826 0.348
Pr 0.766 0.652 0.174
Pr 0.724 0.597 0.597
Pr 0.276 0.403 0.403
Y 0.000 0.000 0.000
Tm 0.582 0.804 0.804
Tm 0.418 0.196 0.196
CELL_PARAMETERS angstrom
6.319 1.823 1.384
2.089 9.794 3.128
2.089 5.649 8.590
! ΔH_f (0 K) (eV/atom): 0.1673
! Space-group type: C2/m
! Density of states at the Fermi level (states/eV/cell): 17.7
! ΔE to the lowest computed polymorph (meV per atom): 57.2



Record 15
! BaDyCd2 (PBE-GGA, relaxed); values from VASP
&SYSTEM
  ibrav = 0, nat = 4, ntyp = 3
/
ATOMIC_SPECIES
Dy 162.50 Dy.upf
Ba 137.33 Ba.upf
Cd 112.41 Cd.upf
ATOMIC_POSITIONS crystal
Dy 0.500 0.500 0.500
Ba 0.500 0.000 0.000
Cd 0.000 0.000 0.500
Cd 0.000 0.500 0.000
CELL_PARAMETERS angstrom
3.887 0.000 0.000
0.000 5.682 0.000
0.000 0.000 5.682
! ΔH_f (0 K) (eV/atom): -0.2021
! Space-group type: P4/mmm
! Density of states at the Fermi level (states/eV/cell): 2.1



Record 16
! Al2AgPb (PBE-GGA, relaxed); values from VASP
&SYSTEM
  ibrav = 0, nat = 4, ntyp = 3
/
ATOMIC_SPECIES
Pb 207.20 Pb.upf
Al 26.98 Al.upf
Ag 107.87 Ag.upf
ATOMIC_POSITIONS crystal
Pb 0.000 0.000 0.503
Al 0.000 0.000 0.999
Al 0.500 0.500 0.202
Ag 0.500 0.500 0.797
CELL_PARAMETERS angstrom
-1.527 -1.424 -2.472
2.690 -1.654 -0.709
-2.342 -5.880 4.834
! ΔH_f (0 K) (eV/atom): 0.1260
! Space-group type: P4mm
! Density of states at the Fermi level (states/eV/cell): 0.8



Record 17
! YCu2Ni (PBE-GGA, relaxed); values from VASP
&SYSTEM
  ibrav = 0, nat = 4, ntyp = 3
/
ATOMIC_SPECIES
Cu 63.55 Cu.upf
Ni 58.69 Ni.upf
Y 88.91 Y.upf
ATOMIC_POSITIONS crystal
Cu 0.000 0.016 0.090
Cu 0.500 0.450 0.220
Ni 0.000 0.315 0.499
Y 0.500 0.720 0.692
CELL_PARAMETERS angstrom
-0.223 3.785 -0.275
-0.323 -0.268 -3.434
-5.160 -0.391 -1.196
! ΔH_f (0 K) (eV/atom): -0.0757
! Space-group type: Pm
! Density of states at the Fermi level (states/eV/cell): 2.0
! ΔE to the lowest computed polymorph (meV per atom): 184.3



Record 18
! Ca2LaEu (PBE-GGA, relaxed); values from VASP
&SYSTEM
  ibrav = 0, nat = 4, ntyp = 3
/
ATOMIC_SPECIES
Eu 151.96 Eu.upf
Ca 40.08 Ca.upf
La 138.91 La.upf
ATOMIC_POSITIONS crystal
Eu 0.000 0.000 0.000
Ca 0.250 0.250 0.250
Ca 0.750 0.750 0.750
La 0.500 0.500 0.500
CELL_PARAMETERS angstrom
6.131 0.000 0.000
3.065 5.309 0.000
3.065 1.770 5.006
! ΔH_f (0 K) (eV/atom): 0.0926
! Space-group type: Fm-3m
! Density of states at the Fermi level (states/eV/cell): 10.9
! ΔE to the lowest computed polymorph (meV per atom): 25.2



Record 19
! SrCd2Au (PBE-GGA, relaxed); values from VASP
&SYSTEM
  ibrav = 0, nat = 4, ntyp = 3
/
ATOMIC_SPECIES
Sr 87.62 Sr.upf
Au 196.97 Au.upf
Cd 112.41 Cd.upf
ATOMIC_POSITIONS crystal
Sr 0.000 0.000 0.000
Au 0.500 0.500 0.500
Cd 0.250 0.250 0.250
Cd 0.750 0.750 0.750
CELL_PARAMETERS angstrom
-1.843 -3.190 3.662
-5.018 -1.341 -0.010
-1.390 -4.849 -1.240
! ΔH_f (0 K) (eV/atom): -0.2853
! Space-group type: Fm-3m
! Density of states at the Fermi level (states/eV/cell): 2.4



Record 20
! La2PrNd2Mg5 (PBE-GGA, relaxed); values from VASP
&SYSTEM
  ibrav = 0, nat = 20, ntyp = 4
/
ATOMIC_SPECIES
La 138.91 La.upf
Pr 140.91 Pr.upf
Nd 144.24 Nd.upf
Mg 24.30 Mg.upf
ATOMIC_POSITIONS crystal
La 0.000 0.675 0.175
La 0.000 0.325 0.825
La 0.000 0.175 0.325
La 0.000 0.825 0.675
Pr 0.000 0.000 0.000
Pr 0.000 0.500 0.500
Nd 0.000 0.123 0.623
Nd 0.000 0.877 0.377
Nd 0.000 0.623 0.877
Nd 0.000 0.377 0.123
Mg 0.500 0.196 0.075
Mg 0.500 0.804 0.925
Mg 0.500 0.075 0.804
Mg 0.500 0.696 0.425
Mg 0.500 0.925 0.196
Mg 0.500 0.304 0.575
Mg 0.500 0.575 0.696
Mg 0.500 0.425 0.304
Mg 0.500 0.500 0.000
Mg 0.500 0.000 0.500
CELL_PARAMETERS angstrom
5.248 0.000 0.000
0.000 10.790 0.000
0.000 0.000 10.790
! ΔH_f (0 K) (eV/atom): -0.0025
! Space-group type: P4/mbm
! Density of states at the Fermi level (states/eV/cell): 14.7